Compound: Cs4CaCe3Se8
Source: Alexandria via LeMat-Bulk
Functional: PBE
Structure: relaxed

Cell and atoms, written as CIF:
```
data_Cs4CaCe3Se8
_space_group_name_H-M_alt 'R -3 m'
_space_group_IT_number 166
_space_group_name_Hall '-R 3 2"'
_cell_length_a 8.8200
_cell_length_b 8.8200
_cell_length_c 25.0149
_cell_angle_alpha 90.00
_cell_angle_beta 90.00
_cell_angle_gamma 120.00
loop_
_atom_site_label
_atom_site_type_symbol
_atom_site_fract_x
_atom_site_fract_y
_atom_site_fract_z
Cs1 Cs 0.0000 0.0000 0.0000
Cs2 Cs 0.0000 0.5000 0.0000
Ca1 Ca 0.0000 0.0000 0.5000
Ce1 Ce 0.0000 0.5000 0.5000
Se1 Se 0.0000 0.0000 0.2294
Se2 Se 0.0074 0.5037 0.7713
```

The formation energy (no corrections) comes out at -1.6703 eV/atom. The total magnetic moment comes out at 2.0 μB per formula unit. The density of states at the Fermi level is 0.792 states/eV/atom. As for the total energy: -233.46 eV/cell.

Compound: Cs3CaCe2Se6
Source: Alexandria via LeMat-Bulk
Functional: PBE
Structure: relaxed

Cell and atoms, written as CIF:
```
data_Cs3CaCe2Se6
_space_group_name_H-M_alt 'C 1 2/m 1'
_space_group_IT_number 12
_cell_length_a 7.615
_cell_length_b 13.190
_cell_length_c 8.712
_cell_angle_alpha 90.00
_cell_angle_beta 106.90
_cell_angle_gamma 90.00
loop_
_space_group_symop_operation_xyz
'x,y,z'
'-x,-y,-z'
'-x,y,-z'
'x,-y,z'
'x+1/2,y+1/2,z'
'-x+1/2,-y+1/2,-z'
'-x+1/2,y+1/2,-z'
'x+1/2,-y+1/2,z'
loop_
_atom_site_label
_atom_site_type_symbol
_atom_site_fract_x
_atom_site_fract_y
_atom_site_fract_z
Cs1 Cs 0.000 0.000 0.000
Cs2 Cs 0.000 0.337 0.000
Ca1 Ca 0.000 0.500 0.500
Ce1 Ce 0.000 0.167 0.500
Se1 Se 0.219 0.000 0.686
Se2 Se 0.234 0.329 0.687
```

The formation energy (no corrections) comes out at -1.6659 eV/atom. The total magnetic moment comes out at 1.0 μB per formula unit. The density of states at the Fermi level is 0.500 states/eV/atom. As for the total energy: -114.66 eV/cell.

Compound: CaCeCu3
Source: Alexandria via LeMat-Bulk
Functional: PBE
Structure: relaxed

Cell and atoms, written as CIF:
```
data_CaCeCu3
_space_group_name_H-M_alt 'C m c m'
_space_group_IT_number 63
_space_group_name_Hall '-C 2c 2'
_cell_length_a 3.771
_cell_length_b 26.021
_cell_length_c 4.319
_cell_angle_alpha 90.00
_cell_angle_beta 90.00
_cell_angle_gamma 90.00
loop_
_atom_site_label
_atom_site_type_symbol
_atom_site_fract_x
_atom_site_fract_y
_atom_site_fract_z
Ca1 Ca 0.000 0.203 0.250
Ce1 Ce 0.000 0.070 0.750
Cu1 Cu 0.000 0.335 0.250
Cu2 Cu 0.000 0.384 0.750
Cu3 Cu 0.000 0.477 0.750
```

As for the formation enthalpy at 0 K: -0.6 eV/f.u. The total magnetic moment comes out at 0.8 μB per formula unit. The density of states at the Fermi level is 1.554 states/eV/atom. As for the total energy: -83.17 eV/cell.

Compound: CaCe2Cu6
Source: Alexandria via LeMat-Bulk
Functional: PBE
Structure: relaxed

Cell and atoms, written as CIF:
```
data_CaCe2Cu6
_space_group_name_H-M_alt 'P 6/m m m'
_space_group_IT_number 191
_space_group_name_Hall '-P 6 2'
_cell_length_a 7.4842
_cell_length_b 7.4842
_cell_length_c 3.5709
_cell_angle_alpha 90.00
_cell_angle_beta 90.00
_cell_angle_gamma 120.00
loop_
_atom_site_label
_atom_site_type_symbol
_atom_site_fract_x
_atom_site_fract_y
_atom_site_fract_z
Ca1 Ca 0.0000 0.0000 0.0000
Ce1 Ce 0.3333 0.6667 0.0000
Cu1 Cu 0.0000 0.3339 0.5000
```

As for the formation enthalpy at 0 K: -1.0 eV/f.u. The total magnetic moment comes out at 1.7 μB per formula unit. The density of states at the Fermi level is 1.651 states/eV/atom. As for the total energy: -39.46 eV/cell.

Compound: Ca2CeCu
Source: Alexandria via LeMat-Bulk
Functional: PBE
Structure: relaxed

Cell and atoms, written as CIF:
```
data_Ca2CeCu
_space_group_name_H-M_alt 'R -3 m'
_space_group_IT_number 166
_space_group_name_Hall '-R 3 2"'
_cell_length_a 3.6060
_cell_length_b 3.6060
_cell_length_c 33.3589
_cell_angle_alpha 90.00
_cell_angle_beta 90.00
_cell_angle_gamma 120.00
loop_
_atom_site_label
_atom_site_type_symbol
_atom_site_fract_x
_atom_site_fract_y
_atom_site_fract_z
Ca1 Ca 0.0000 0.0000 0.1060
Ce1 Ce 0.0000 0.0000 0.0000
Cu1 Cu 0.0000 0.0000 0.5000
```

As for the formation enthalpy at 0 K: 1.2 eV/f.u. The total magnetic moment comes out at 1.7 μB per formula unit. The density of states at the Fermi level is 2.163 states/eV/atom. As for the total energy: -38.50 eV/cell.

Compound: CaCeGa2Cu2
Source: Alexandria via LeMat-Bulk
Functional: PBE
Structure: relaxed

Cell and atoms, written as CIF:
```
data_CaCeGa2Cu2
_space_group_name_H-M_alt 'P -3 m 1'
_space_group_IT_number 164
_space_group_name_Hall '-P 3 2"'
_cell_length_a 4.4667
_cell_length_b 4.4667
_cell_length_c 7.1824
_cell_angle_alpha 90.00
_cell_angle_beta 90.00
_cell_angle_gamma 120.00
loop_
_atom_site_label
_atom_site_type_symbol
_atom_site_fract_x
_atom_site_fract_y
_atom_site_fract_z
Ca1 Ca 0.0000 0.0000 0.0000
Ce1 Ce 0.0000 0.0000 0.5000
Ga1 Ga 0.3333 0.6667 0.7241
Cu1 Cu 0.3333 0.6667 0.2772
```

As for the formation enthalpy at 0 K: -2.3 eV/f.u. The total magnetic moment comes out at 0.0 μB per formula unit. The density of states at the Fermi level is 1.125 states/eV/atom. As for the total energy: -24.44 eV/cell.

Compound: CaCeCu2Ge2
Source: Alexandria via LeMat-Bulk
Functional: PBE
Structure: relaxed

Cell and atoms, written as CIF:
```
data_CaCeCu2Ge2
_space_group_name_H-M_alt 'P -3 m 1'
_space_group_IT_number 164
_space_group_name_Hall '-P 3 2"'
_cell_length_a 4.2807
_cell_length_b 4.2807
_cell_length_c 7.7053
_cell_angle_alpha 90.00
_cell_angle_beta 90.00
_cell_angle_gamma 120.00
loop_
_atom_site_label
_atom_site_type_symbol
_atom_site_fract_x
_atom_site_fract_y
_atom_site_fract_z
Ca1 Ca 0.0000 0.0000 0.0000
Ce1 Ce 0.0000 0.0000 0.5000
Cu1 Cu 0.3333 0.6667 0.2514
Ge1 Ge 0.3333 0.6667 0.7306
```

As for the formation enthalpy at 0 K: -3.4 eV/f.u. The total magnetic moment comes out at 0.2 μB per formula unit. The density of states at the Fermi level is 0.197 states/eV/atom. As for the total energy: -28.81 eV/cell.

Compound: CaCe2Cu2Ge2
Source: Alexandria via LeMat-Bulk
Functional: PBE
Structure: relaxed

Cell and atoms, written as CIF:
```
data_CaCe2Cu2Ge2
_space_group_name_H-M_alt 'R -3 m'
_space_group_IT_number 166
_space_group_name_Hall '-R 3 2"'
_cell_length_a 4.2842
_cell_length_b 4.2842
_cell_length_c 27.5508
_cell_angle_alpha 90.00
_cell_angle_beta 90.00
_cell_angle_gamma 120.00
loop_
_atom_site_label
_atom_site_type_symbol
_atom_site_fract_x
_atom_site_fract_y
_atom_site_fract_z
Ca1 Ca 0.0000 0.0000 0.0000
Ce1 Ce 0.0000 0.0000 0.1399
Cu1 Cu 0.0000 0.0000 0.4090
Ge1 Ge 0.0000 0.0000 0.2599
```

As for the formation enthalpy at 0 K: -3.1 eV/f.u. The total magnetic moment comes out at 1.9 μB per formula unit. The density of states at the Fermi level is 1.166 states/eV/atom. As for the total energy: -103.24 eV/cell.

Repeat the sixth record exactly.
Compound: CaCeGa2Cu2
Source: Alexandria via LeMat-Bulk
Functional: PBE
Structure: relaxed

Cell and atoms, written as CIF:
```
data_CaCeGa2Cu2
_space_group_name_H-M_alt 'P -3 m 1'
_space_group_IT_number 164
_space_group_name_Hall '-P 3 2"'
_cell_length_a 4.4667
_cell_length_b 4.4667
_cell_length_c 7.1824
_cell_angle_alpha 90.00
_cell_angle_beta 90.00
_cell_angle_gamma 120.00
loop_
_atom_site_label
_atom_site_type_symbol
_atom_site_fract_x
_atom_site_fract_y
_atom_site_fract_z
Ca1 Ca 0.0000 0.0000 0.0000
Ce1 Ce 0.0000 0.0000 0.5000
Ga1 Ga 0.3333 0.6667 0.7241
Cu1 Cu 0.3333 0.6667 0.2772
```

As for the formation enthalpy at 0 K: -2.3 eV/f.u. The total magnetic moment comes out at 0.0 μB per formula unit. The density of states at the Fermi level is 1.125 states/eV/atom. As for the total energy: -24.44 eV/cell.

What did the second record say?
Compound: Cs3CaCe2Se6
Source: Alexandria via LeMat-Bulk
Functional: PBE
Structure: relaxed

Cell and atoms, written as CIF:
```
data_Cs3CaCe2Se6
_space_group_name_H-M_alt 'C 1 2/m 1'
_space_group_IT_number 12
_cell_length_a 7.615
_cell_length_b 13.190
_cell_length_c 8.712
_cell_angle_alpha 90.00
_cell_angle_beta 106.90
_cell_angle_gamma 90.00
loop_
_space_group_symop_operation_xyz
'x,y,z'
'-x,-y,-z'
'-x,y,-z'
'x,-y,z'
'x+1/2,y+1/2,z'
'-x+1/2,-y+1/2,-z'
'-x+1/2,y+1/2,-z'
'x+1/2,-y+1/2,z'
loop_
_atom_site_label
_atom_site_type_symbol
_atom_site_fract_x
_atom_site_fract_y
_atom_site_fract_z
Cs1 Cs 0.000 0.000 0.000
Cs2 Cs 0.000 0.337 0.000
Ca1 Ca 0.000 0.500 0.500
Ce1 Ce 0.000 0.167 0.500
Se1 Se 0.219 0.000 0.686
Se2 Se 0.234 0.329 0.687
```

The formation energy (no corrections) comes out at -1.6659 eV/atom. The total magnetic moment comes out at 1.0 μB per formula unit. The density of states at the Fermi level is 0.500 states/eV/atom. As for the total energy: -114.66 eV/cell.